No. 1
# BaMg5

A relaxed structure of BaMg5 (PBEsol, the Alexandria database).

a = 6.1906 Å, b = 6.1906 Å, c = 6.1906 Å
α = 60.00°, β = 60.00°, γ = 60.00°
Positions (direct):
Ba 0.0000 0.0000 0.0000
Mg 0.3758 0.3758 0.3758
Mg 0.3758 0.3758 0.8727
Mg 0.3758 0.8727 0.3758
Mg 0.7500 0.7500 0.7500
Mg 0.8727 0.3758 0.3758

Results
Space group   No. 216
Total magnetic moment   0.00 μB per formula unit
E_form   -0.01 eV per atom

---

No. 2
# Co2HgMo

A relaxed structure of Co2HgMo (PBEsol, the Alexandria database).

a = 4.8323 Å, b = 4.8323 Å, c = 4.8323 Å
α = 136.02°, β = 136.02°, γ = 63.95°
Positions (direct):
Co 0.0000 0.0000 0.0000
Co 0.7500 0.2500 0.5000
Hg 0.5000 0.5000 0.0000
Mo 0.2500 0.7500 0.5000

Results
Space group   No. 119
Total magnetic moment   0.00 μB per formula unit
E_form   0.41 eV per atom

---

No. 3
# TiIrS2

A relaxed structure of TiIrS2 (PBEsol, the Alexandria database).

a = 7.5495 Å, b = 7.5495 Å, c = 7.5495 Å
α = 26.31°, β = 26.31°, γ = 26.31°
Positions (direct):
Ti 0.0000 0.0000 0.0000
Ir 0.5000 0.5000 0.5000
S 0.1093 0.1093 0.1093
S 0.8907 0.8907 0.8907

Results
Space group   No. 166
Energy relative to the elements, uncorrected   -0.164 eV per atom
Total magnetic moment   1.01 μB per formula unit

---

No. 4
# SiMoBr2

A relaxed structure of SiMoBr2 (PBEsol, the Alexandria database).

a = 7.6449 Å, b = 7.6449 Å, c = 3.8840 Å
α = 102.44°, β = 102.44°, γ = 23.92°
Positions (direct):
Si 0.0000 0.0000 0.0000
Mo 0.5000 0.5000 0.5000
Br 0.1497 0.1497 0.6669
Br 0.8503 0.8503 0.3332

Results
Space group   No. 12
Energy relative to the elements, uncorrected   -0.004 eV per atom
Total magnetic moment   0.00 μB per formula unit

---

No. 5
# YW2Au

A relaxed structure of YW2Au (PBEsol, the Alexandria database).

a = 3.9215 Å, b = 3.9215 Å, c = 4.7347 Å
α = 90.00°, β = 90.00°, γ = 90.00°
Positions (direct):
Y 0.0000 0.0000 0.0000
W 0.0000 0.5000 0.5000
W 0.5000 0.0000 0.5000
Au 0.5000 0.5000 0.0000

Results
Space group   No. 123
Energy above the lowest structure with this stoichiometry   0 meV per atom
Total magnetic moment   0.00 μB per formula unit
E_form   0.37 eV per atom

---

No. 6
# Sb3BrCl

A relaxed structure of Sb3BrCl (PBEsol, the Alexandria database).

a = 5.3137 Å, b = 5.3137 Å, c = 5.3137 Å
α = 90.00°, β = 90.00°, γ = 90.00°
Positions (direct):
Sb 0.0000 0.0000 0.5000
Sb 0.0000 0.5000 0.0000
Sb 0.5000 0.0000 0.0000
Br 0.5000 0.5000 0.5000
Cl 0.0000 0.0000 0.0000

Results
Space group   No. 221
Energy relative to the elements, uncorrected   0.760 eV per atom
Total magnetic moment   0.00 μB per formula unit

---

No. 7
# ScPSe

A relaxed structure of ScPSe (PBEsol, the Alexandria database).

a = 5.1939 Å, b = 5.1939 Å, c = 5.1939 Å
α = 140.38°, β = 140.38°, γ = 57.28°
Positions (direct):
Sc 0.0000 0.0000 0.0000
P 0.6026 0.6026 0.0000
Se 0.3408 0.3408 0.0000

Results
Space group   No. 107
Energy relative to the elements, uncorrected   -0.906 eV per atom
Total magnetic moment   0.00 μB per formula unit

---

No. 8
# KInPb2

A relaxed structure of KInPb2 (PBEsol, the Alexandria database).

a = 5.5627 Å, b = 5.5627 Å, c = 5.5627 Å
α = 60.00°, β = 60.00°, γ = 60.00°
Positions (direct):
K 0.0000 0.0000 0.0000
In 0.2500 0.2500 0.2500
Pb 0.5000 0.5000 0.5000
Pb 0.7500 0.7500 0.7500

Results
Space group   No. 216
Total magnetic moment   0.00 μB per formula unit
E_form   -0.05 eV per atom

---

No. 9
# Sn3P2O8

A relaxed structure of Sn3P2O8 (PBEsol, the Alexandria database).

a = 11.1170 Å, b = 4.8203 Å, c = 16.2378 Å
α = 90.00°, β = 94.80°, γ = 90.00°
Positions (direct):
Sn 0.0131 0.2213 0.3615
Sn 0.0131 0.2787 0.8615
Sn 0.3005 0.7339 0.7875
Sn 0.3005 0.7661 0.2875
Sn 0.3551 0.1205 0.5396
Sn 0.3551 0.3795 0.0396
Sn 0.6449 0.6205 0.9604
Sn 0.6449 0.8795 0.4604
Sn 0.6995 0.2339 0.7125
Sn 0.6995 0.2661 0.2125
Sn 0.9869 0.7213 0.1385
Sn 0.9869 0.7787 0.6385
P 0.1479 0.6913 0.4698
P 0.1479 0.8087 0.9698
P 0.4800 0.1979 0.8527
P 0.4800 0.3021 0.3527
P 0.5200 0.6979 0.6473
P 0.5200 0.8021 0.1473
P 0.8521 0.1913 0.0302
P 0.8521 0.3087 0.5302
O 0.0466 0.6858 0.9091
O 0.0466 0.8142 0.4091
O 0.1299 0.7484 0.0614
O 0.1299 0.7516 0.5614
O 0.1470 0.1271 0.9531
O 0.1470 0.3729 0.4531
O 0.2735 0.6907 0.9529
O 0.2735 0.8093 0.4529
O 0.3691 0.1795 0.3015
O 0.3691 0.3205 0.8015
O 0.3971 0.7173 0.1769
O 0.3971 0.7827 0.6769
O 0.4631 0.6205 0.3531
O 0.4631 0.8795 0.8531
O 0.4878 0.1877 0.4435
O 0.4878 0.3123 0.9435
O 0.5122 0.6877 0.0565
O 0.5122 0.8123 0.5565
O 0.5369 0.1205 0.1469
O 0.5369 0.3795 0.6469
O 0.6029 0.2173 0.3231
O 0.6029 0.2827 0.8231
O 0.6309 0.6795 0.1985
O 0.6309 0.8205 0.6985
O 0.7265 0.1907 0.5471
O 0.7265 0.3093 0.0471
O 0.8530 0.6271 0.5469
O 0.8530 0.8729 0.0469
O 0.8701 0.2484 0.4386
O 0.8701 0.2516 0.9386
O 0.9534 0.1858 0.5909
O 0.9534 0.3142 0.0909

Results
Space group   No. 14
Energy relative to the elements, uncorrected   -1.857 eV per atom
Total magnetic moment   0.00 μB per formula unit

---

No. 10
# InP2Au

A relaxed structure of InP2Au (PBEsol, the Alexandria database).

a = 5.8679 Å, b = 5.8679 Å, c = 5.8679 Å
α = 142.68°, β = 142.68°, γ = 53.80°
Positions (direct):
In 0.0000 0.0000 0.0000
P 0.2500 0.7500 0.5000
P 0.7500 0.2500 0.5000
Au 0.5000 0.5000 0.0000

Results
Space group   No. 139
Total magnetic moment   0.00 μB per formula unit
E_form   0.45 eV per atom

---

No. 11
# MnMoSeN2

A relaxed structure of MnMoSeN2 (PBEsol, the Alexandria database).

a = 3.8375 Å, b = 3.8375 Å, c = 5.2285 Å
α = 90.00°, β = 90.00°, γ = 90.00°
Positions (direct):
Mn 0.0000 0.0000 0.0000
Mo 0.5000 0.5000 0.5000
Se 0.5000 0.5000 0.0000
N 0.0000 0.5000 0.5000
N 0.5000 0.0000 0.5000

Results
Space group   No. 123
Energy relative to the elements, uncorrected   0.349 eV per atom
Total magnetic moment   4.66 μB per formula unit

---

No. 12
# Pr5Ir3

A relaxed structure of Pr5Ir3 (PBEsol, the Alexandria database).

a = 11.1908 Å, b = 11.1908 Å, c = 6.4758 Å
α = 90.00°, β = 90.00°, γ = 90.00°
Positions (direct):
Pr 0.0416 0.1598 0.1209
Pr 0.0416 0.3402 0.6209
Pr 0.1598 0.0416 0.6209
Pr 0.1598 0.4584 0.1209
Pr 0.2500 0.7500 0.0000
Pr 0.2500 0.7500 0.5000
Pr 0.3402 0.0416 0.1209
Pr 0.3402 0.4584 0.6209
Pr 0.4584 0.1598 0.6209
Pr 0.4584 0.3402 0.1209
Pr 0.5416 0.6598 0.8791
Pr 0.5416 0.8402 0.3791
Pr 0.6598 0.5416 0.3791
Pr 0.6598 0.9584 0.8791
Pr 0.7500 0.2500 0.0000
Pr 0.7500 0.2500 0.5000
Pr 0.8402 0.5416 0.8791
Pr 0.8402 0.9584 0.3791
Pr 0.9584 0.6598 0.3791
Pr 0.9584 0.8402 0.8791
Ir 0.0959 0.5959 0.7500
Ir 0.0959 0.9041 0.2500
Ir 0.2500 0.2500 0.3826
Ir 0.2500 0.2500 0.8826
Ir 0.4041 0.5959 0.2500
Ir 0.4041 0.9041 0.7500
Ir 0.5959 0.0959 0.2500
Ir 0.5959 0.4041 0.7500
Ir 0.7500 0.7500 0.1174
Ir 0.7500 0.7500 0.6174
Ir 0.9041 0.0959 0.7500
Ir 0.9041 0.4041 0.2500

Results
Space group   No. 130
Total magnetic moment   0.00 μB per formula unit
E_form   -0.53 eV per atom

---

No. 13
# Mg2SiPt

A relaxed structure of Mg2SiPt (PBEsol, the Alexandria database).

a = 2.9351 Å, b = 3.8741 Å, c = 5.5659 Å
α = 90.00°, β = 90.00°, γ = 90.00°
Positions (direct):
Mg 0.0000 0.0000 0.2437
Mg 0.0000 0.0000 0.7563
Si 0.5000 0.5000 0.5000
Pt 0.5000 0.5000 0.0000

Results
Space group   No. 47
Energy relative to the elements, uncorrected   -0.428 eV per atom
Total magnetic moment   0.00 μB per formula unit

---

No. 14
# Ca3OsBr

A relaxed structure of Ca3OsBr (PBEsol, the Alexandria database).

a = 5.4135 Å, b = 5.4135 Å, c = 5.4135 Å
α = 90.00°, β = 90.00°, γ = 90.00°
Positions (direct):
Ca 0.0000 0.0000 0.5000
Ca 0.0000 0.5000 0.0000
Ca 0.5000 0.0000 0.0000
Os 0.0000 0.0000 0.0000
Br 0.5000 0.5000 0.5000

Results
Space group   No. 221
Energy relative to the elements, uncorrected   0.000 eV per atom
Total magnetic moment   0.00 μB per formula unit

---

No. 15
# Hf3SiPb

A relaxed structure of Hf3SiPb (PBEsol, the Alexandria database).

a = 4.8583 Å, b = 4.8583 Å, c = 4.8583 Å
α = 90.00°, β = 90.00°, γ = 90.00°
Positions (direct):
Hf 0.0000 0.0000 0.5000
Hf 0.0000 0.5000 0.0000
Hf 0.5000 0.0000 0.0000
Si 0.0000 0.0000 0.0000
Pb 0.5000 0.5000 0.5000

Results
Space group   No. 221
Energy relative to the elements, uncorrected   0.170 eV per atom
Total magnetic moment   0.00 μB per formula unit

---

No. 16
# MnBe3

A relaxed structure of MnBe3 (PBEsol, the Alexandria database).

a = 4.3597 Å, b = 4.3597 Å, c = 4.3597 Å
α = 147.81°, β = 129.84°, γ = 60.86°
Positions (direct):
Mn 0.0000 0.0000 0.0000
Be 0.2616 0.7616 0.5000
Be 0.5000 0.5000 0.0000
Be 0.7384 0.2384 0.5000

Results
Space group   No. 71
Total magnetic moment   0.00 μB per formula unit
E_form   -0.02 eV per atom

---

No. 17
# Zr5Co4Ni

A relaxed structure of Zr5Co4Ni (PBEsol, the Alexandria database).

a = 3.1385 Å, b = 3.1385 Å, c = 15.7093 Å
α = 90.00°, β = 90.00°, γ = 90.00°
Positions (direct):
Zr 0.0000 0.0000 0.0000
Zr 0.0000 0.0000 0.1985
Zr 0.0000 0.0000 0.3973
Zr 0.0000 0.0000 0.6027
Zr 0.0000 0.0000 0.8015
Co 0.5000 0.5000 0.0986
Co 0.5000 0.5000 0.2963
Co 0.5000 0.5000 0.7037
Co 0.5000 0.5000 0.9014
Ni 0.5000 0.5000 0.5000

Results
Space group   No. 123
Total magnetic moment   0.01 μB per formula unit
E_form   -0.31 eV per atom

---

No. 18
# CoSbAu2

A relaxed structure of CoSbAu2 (PBEsol, the Alexandria database).

a = 4.5844 Å, b = 4.5844 Å, c = 4.7549 Å
α = 106.00°, β = 106.00°, γ = 45.73°
Positions (direct):
Co 0.0000 0.0000 0.0000
Sb 0.7273 0.7273 0.1601
Au 0.2596 0.2596 0.7271
Au 0.5020 0.5020 0.4756

Results
Space group   No. 8
Energy relative to the elements, uncorrected   0.217 eV per atom
Total magnetic moment   0.72 μB per formula unit

---

No. 19
# YP2ClF

A relaxed structure of YP2ClF (PBEsol, the Alexandria database).

a = 5.3770 Å, b = 5.3770 Å, c = 5.0666 Å
α = 90.00°, β = 90.00°, γ = 90.00°
Positions (direct):
Y 0.0000 0.0000 0.0000
P 0.0000 0.5000 0.0000
P 0.5000 0.0000 0.0000
Cl 0.0000 0.0000 0.5000
F 0.5000 0.5000 0.5000

Results
Space group   No. 123
Energy relative to the elements, uncorrected   0.061 eV per atom
Total magnetic moment   1.86 μB per formula unit

---

No. 20
# FeSiTc2

A relaxed structure of FeSiTc2 (PBEsol, the Alexandria database).

a = 2.9148 Å, b = 2.9148 Å, c = 5.9137 Å
α = 90.00°, β = 90.00°, γ = 90.00°
Positions (direct):
Fe 0.0000 0.0000 0.0000
Si 0.0000 0.0000 0.5000
Tc 0.5000 0.5000 0.2550
Tc 0.5000 0.5000 0.7450

Results
Space group   No. 123
Energy relative to the elements, uncorrected   -0.232 eV per atom
Total magnetic moment   2.08 μB per formula unit

---

No. 21
# RbNbGe2Cl

A relaxed structure of RbNbGe2Cl (PBEsol, the Alexandria database).

a = 5.3493 Å, b = 5.3493 Å, c = 5.3019 Å
α = 90.00°, β = 90.00°, γ = 90.00°
Positions (direct):
Rb 0.0000 0.0000 0.0000
Nb 0.5000 0.5000 0.5000
Ge 0.0000 0.5000 0.0000
Ge 0.5000 0.0000 0.0000
Cl 0.0000 0.0000 0.5000

Results
Space group   No. 123
Energy relative to the elements, uncorrected   1.776 eV per atom
Total magnetic moment   2.00 μB per formula unit

---

No. 22
# Cu3SeI

A relaxed structure of Cu3SeI (PBEsol, the Alexandria database).

a = 4.8004 Å, b = 4.8004 Å, c = 4.8004 Å
α = 90.00°, β = 90.00°, γ = 90.00°
Positions (direct):
Cu 0.0000 0.0000 0.5000
Cu 0.0000 0.5000 0.0000
Cu 0.5000 0.0000 0.0000
Se 0.5000 0.5000 0.5000
I 0.0000 0.0000 0.0000

Results
Space group   No. 221
Energy relative to the elements, uncorrected   0.922 eV per atom
Energy above the lowest structure with this stoichiometry   995 meV per atom
Total magnetic moment   0.00 μB per formula unit

---

No. 23
# Cd2TcMo

A relaxed structure of Cd2TcMo (PBEsol, the Alexandria database).

a = 4.7825 Å, b = 4.7825 Å, c = 5.2735 Å
α = 95.43°, β = 95.43°, γ = 33.93°
Positions (direct):
Cd 0.0000 0.0000 0.0000
Cd 0.2492 0.2492 0.7717
Tc 0.7440 0.7440 0.2948
Mo 0.5011 0.5011 0.4773

Results
Space group   No. 8
Energy above the lowest structure with this stoichiometry   20 meV per atom
Total magnetic moment   0.00 μB per formula unit
E_form   0.42 eV per atom

---

No. 24
# Sr3AsI

A relaxed structure of Sr3AsI (PBEsol, the Alexandria database).

a = 5.9447 Å, b = 5.9447 Å, c = 5.9447 Å
α = 90.00°, β = 90.00°, γ = 90.00°
Positions (direct):
Sr 0.0000 0.0000 0.5000
Sr 0.0000 0.5000 0.0000
Sr 0.5000 0.0000 0.0000
As 0.5000 0.5000 0.5000
I 0.0000 0.0000 0.0000

Results
Space group   No. 221
Energy relative to the elements, uncorrected   -0.137 eV per atom
Total magnetic moment   0.00 μB per formula unit

---

No. 25
# BaCaRh3

A relaxed structure of BaCaRh3 (PBEsol, the Alexandria database).

a = 5.0060 Å, b = 5.0060 Å, c = 5.0060 Å
α = 90.00°, β = 90.00°, γ = 90.00°
Positions (direct):
Ba 0.0000 0.0000 0.0000
Ca 0.5000 0.5000 0.5000
Rh 0.0000 0.0000 0.5000
Rh 0.0000 0.5000 0.0000
Rh 0.5000 0.0000 0.0000

Results
Space group   No. 221
Total magnetic moment   0.00 μB per formula unit
E_form   1.23 eV per atom

---

Which electronic total energy belongs to each record? In order, -1.7978, -6.5428, -6.8924, -5.3180, -9.2193, -2.7502, -6.3215, -3.0769, -6.9609, -4.1708, -8.1375, -7.4557, -4.4646, -4.0976, -8.0808, -5.4633, -8.5686, -4.8191, -4.4072, -9.5425, -2.9705, -2.8020, -5.9399, -2.6160, -4.5057 eV per atom.
Which DOS at the Fermi energy belongs to each record? In order, 4.04, 2.98, 3.36, 2.38, 2.96, 3.68, 1.34, 1.05, 0.00, 1.93, 2.86, 22.54, 1.31, 4.22, 3.44, 1.74, 10.17, 3.12, 5.71, 2.80, 8.24, 1.57, 2.54, 4.70, 7.67 states/eV per cell.